# CuReP2 PBE relaxed
data_CuReP2
_chemical_formula_sum 'Cu1 Re1 P2'
_symmetry_space_group_name_H-M 'P 1 2/m 1'
_symmetry_Int_Tables_number 10
_symmetry_space_group_name_Hall '-P 2y'
_cell_length_a 3.126
_cell_length_b 4.075
_cell_length_c 4.620
_cell_angle_alpha 90.00
_cell_angle_beta 90.16
_cell_angle_gamma 90.00
loop_
_atom_site_label
_atom_site_fract_x
_atom_site_fract_y
_atom_site_fract_z
_atom_site_occupancy
Cu1 0.000 0.000 0.000 1
Re1 0.500 0.000 0.500 1
P1 0.499 0.500 0.232 1
# * density of states at the Fermi level: 2.3 states/eV/cell
# * ΔE to the lowest computed polymorph: 1.36 eV per formula unit
# * magnetic moment: 0.00 μB/cell
# * calculated formation energy: 0.2856 eV/atom